(1)
DFT (GGA-PBE) results for a relaxed ZrRhSeF2 crystal.

Computed properties:
Crystal system: tetragonal
E (eV/atom): -5.0476

Cell: 4.279 4.737 4.279 Å, 90.00 90.00 90.00°
Site moments in Bohr magnetons follow the coordinates.
Atoms (fractional coordinates):
Rh 0.000 0.500 0.000  -0.03
Se 0.000 0.000 0.000  -0.01
Zr 0.500 0.500 0.500  0.55
F 0.000 0.000 0.500  0.02
F 0.500 0.000 0.000  0.00

(2)
DFT (GGA-PBE) results for a relaxed Si2RhF crystal.

Computed properties:
Energy relative to the lowest polymorph listed for this composition (meV/atom): 58
Crystal system: tetragonal

Cell: 5.299 5.299 6.487 Å, 65.89 65.89 90.00°
Atoms (fractional coordinates):
Si 0.636 0.125 0.250
Si 0.114 0.625 0.250
Si 0.375 0.364 0.750
Si 0.875 0.886 0.750
Rh 0.000 0.000 0.000
Rh 0.750 0.250 0.500
F 0.500 0.500 0.000
F 0.250 0.750 0.500

(3)
DFT (GGA-PBE) results for a relaxed SiRhF crystal.

Computed properties:
Crystal system: monoclinic
E (eV/atom): -5.8333

Cell: 3.174 4.064 7.093 Å, 95.14 90.00 112.98°
Atoms (fractional coordinates):
Rh 0.129 0.257 0.771
Rh 0.871 0.743 0.229
Si 0.159 0.319 0.108
Si 0.841 0.681 0.892
F 0.132 0.263 0.397
F 0.868 0.737 0.603

(4)
DFT (GGA-PBE) results for a relaxed SiRhF2 crystal.

Computed properties:
Energy relative to the lowest polymorph listed for this composition (meV/atom): 172
Crystal system: tetragonal

Cell: 3.543 3.543 8.087 Å, 77.35 77.35 90.00°
Atoms (fractional coordinates):
Si 0.500 0.500 0.000
Si 0.250 0.750 0.500
Rh 0.000 0.000 0.000
Rh 0.750 0.250 0.500
F 0.614 0.125 0.250
F 0.136 0.625 0.250
F 0.375 0.386 0.750
F 0.875 0.864 0.750

(5)
DFT (GGA-PBE) results for a relaxed SiRhF2 crystal.

Computed properties:
Energy relative to the lowest polymorph listed for this composition (meV/atom): 713
Crystal system: cubic

Cell: 4.159 4.159 4.159 Å, 60.00 60.00 60.00°
Site moments in Bohr magnetons follow the coordinates.
Atoms (fractional coordinates):
Si 0.000 0.000 0.000  -0.04
Rh 0.500 0.500 0.500  0.98
F 0.250 0.250 0.250  0.05
F 0.750 0.750 0.750  0.05

(6)
DFT (GGA-PBE) results for a relaxed SiRhF2 crystal.

Computed properties:
Energy relative to the lowest polymorph listed for this composition (meV/atom): 246
Crystal system: trigonal

Cell: 8.004 8.004 8.004 Å, 19.39 19.39 19.39°
Site moments in Bohr magnetons follow the coordinates.
Atoms (fractional coordinates):
Si 0.500 0.500 0.500  0.00
Rh 0.000 0.000 0.000  0.29
F 0.914 0.914 0.914  0.01
F 0.086 0.086 0.086  0.01

(7)
DFT (GGA-PBE) results for a relaxed SiRhF2 crystal.

Computed properties:
Energy relative to the lowest polymorph listed for this composition (meV/atom): 0
Crystal system: trigonal

Cell: 9.595 9.595 9.595 Å, 15.96 15.96 15.96°
Site moments in Bohr magnetons follow the coordinates.
Atoms (fractional coordinates):
Si 0.000 0.000 0.000  -0.01
Rh 0.500 0.500 0.500  1.26
F 0.942 0.942 0.942  0.00
F 0.058 0.058 0.058  0.00

(8)
DFT (GGA-PBE) results for a relaxed Si2RhF crystal.

Computed properties:
Energy relative to the lowest polymorph listed for this composition (meV/atom): 0
Crystal system: cubic

Cell: 4.196 4.196 4.196 Å, 60.00 60.00 60.00°
Atoms (fractional coordinates):
Si 0.250 0.250 0.250
Si 0.750 0.750 0.750
Rh 0.500 0.500 0.500
F 0.000 0.000 0.000

What is the formula in the fifth record?
SiRhF2